# 1
# ZrZn2Se | Alexandria via LeMat-Bulk | PBE | optimized geometry
# - Energy: -3.92 eV/atom
# - Spin magnetization: 0.00 μB/f.u.
# - Fermi-level density of states: 0.37 states/eV per atom
# - Energy relative to the elements, uncorrected: -107 kJ/mol of formula units
data_ZrZn2Se
_chemical_formula_sum 'Zr2 Zn4 Se2'
_symmetry_space_group_name_H-M 'C m m m'
_symmetry_Int_Tables_number 65
_symmetry_space_group_name_Hall '-C 2 2'
_cell_length_a 5.284
_cell_length_b 8.082
_cell_length_c 3.575
_cell_angle_alpha 90.00
_cell_angle_beta 90.00
_cell_angle_gamma 90.00
loop_
_atom_site_label
_atom_site_type_symbol
_atom_site_fract_x
_atom_site_fract_y
_atom_site_fract_z
Zr1 Zr 0.000 0.000 0.000
Zn1 Zn 0.250 0.250 0.500
Se1 Se 0.000 0.500 0.000



# 2
# TcPBr | Alexandria via LeMat-Bulk | PBE | optimized geometry
# - Energy: -5.64 eV/atom
# - Spin magnetization: 0.00 μB/f.u.
# - Fermi-level density of states: 1.10 states/eV per atom
# - Energy relative to the elements, uncorrected: 52 kJ/mol of formula units
data_TcPBr
_chemical_formula_sum 'Tc2 P2 Br2'
_symmetry_space_group_name_H-M 'I 4 m m'
_symmetry_Int_Tables_number 107
_symmetry_space_group_name_Hall 'I 4 -2'
_cell_length_a 3.025
_cell_length_b 3.025
_cell_length_c 12.426
_cell_angle_alpha 90.00
_cell_angle_beta 90.00
_cell_angle_gamma 90.00
loop_
_atom_site_label
_atom_site_type_symbol
_atom_site_fract_x
_atom_site_fract_y
_atom_site_fract_z
Tc1 Tc 0.000 0.000 0.000
P1 P 0.000 0.000 0.399
Br1 Br 0.000 0.000 0.650